(1)
A plane-wave DFT calculation with GGA-PBE was carried out for a relaxed structure of MoSe2.

Cell: 13.6366 3.2175 9.7564 Å, 90.00 132.12 90.00°
Closest atoms and distances in Å follow each position.
Space group C2/m (No. 12)
Unique sites:
Mo (0.2097, 0.0000, 0.3532)  5 Se 2.51-2.54, 2 Mo 2.79
Se (0.0581, 0.5000, 0.3303)  3 Mo 2.51-2.54
Se (0.2399, 0.5000, 0.1848)  2 Mo 2.52

## Properties
E_form (uncorrected): -1.1 eV/f.u.
density: 5.311 g cm⁻³
size of the total moment: 0.00 Bohr magnetons per cell


(2)
A plane-wave DFT calculation with GGA-PBE was carried out for a relaxed structure of PmErLuZr.

Cell: 7.7320 7.7320 7.7320 Å, 90.00 90.00 90.00°
Closest atoms and distances in Å follow each position.
Space group F-43m (No. 216)
Unique sites:
Pm (0.0000, 0.0000, 0.0000)  4 Lu 3.35, 4 Er 3.35
Er (0.2500, 0.2500, 0.2500)  4 Pm 3.35, 4 Zr 3.35
Lu (0.2500, 0.2500, 0.7500)  4 Zr 3.35, 4 Pm 3.35
Zr (0.0000, 0.0000, 0.5000)  4 Er 3.35, 4 Lu 3.35

## Properties
density: 8.312 g cm⁻³
size of the total moment: 5.08 Bohr magnetons per cell
formation energy from the elements: 0.82 eV/f.u.


(3)
A plane-wave DFT calculation with GGA-PBE was carried out for a relaxed structure of ReMoSe2.

Cell: 3.0096 3.0096 8.3297 Å, 90.00 90.00 90.00°
Closest atoms and distances in Å follow each position.
Space group P4mm (No. 99)
Unique sites:
Re (0.0000, 0.0000, 0.0000)  4 Se 2.58
Mo (0.5000, 0.5000, 0.7649)  4 Se 2.60, 4 Re 2.89
Se (0.0000, 0.0000, 0.5858)  4 Mo 2.60
Se (0.5000, 0.5000, 0.1749)  4 Re 2.58

## Properties
E_form (uncorrected): -0.3 eV/f.u.
density: 9.685 g cm⁻³
energy relative to the lowest polymorph listed for this composition: 0.000 kcal/mol of atoms
size of the total moment: 0.00 Bohr magnetons per cell


Number 1: total energy -6.31 eV per atom. Number 2: total energy -5.39 eV per atom. Number 3: total energy -7.64 eV per atom.